DFT (meta-GGA SCAN) results for LaCuSb at its PBEsol-relaxed geometry.

The formation energy (no corrections) is -897 meV/atom. The magnetic moment is 0.0 μB/f.u. For the uncorrected energy, the calculation gives -98.3 eV/cell.

It has space group P-6m2 (No. 187), with a = 4.3767 Å, b = 4.3767 Å, c = 4.3151 Å, α = 90.00°, β = 90.00° and γ = 120.00°. The inequivalent atoms are La at (0.0000, 0.0000, 0.0000), Cu at (0.6667, 0.3333, 0.5000) and Sb at (0.3333, 0.6667, 0.5000).

---

DFT (meta-GGA SCAN) results for PtPb2 at its PBEsol-relaxed geometry.

The calculated formation energy comes out at -0.17 eV per atom. The magnetic moment is 0.0 μB/f.u. For the uncorrected energy, the calculation gives -222.3 eV/cell.

It has space group P-3m1 (No. 164), with a = 3.8173 Å, b = 3.8173 Å, c = 6.0232 Å, α = 90.00°, β = 90.00° and γ = 120.00°. The inequivalent atoms are Pt at (0.0000, 0.0000, 0.0000) and Pb at (0.3333, 0.6667, 0.7210).